# 1
{
  "formula": "DyPaGaHg",
  "functional": "GGA-PBE",
  "state": "optimized geometry",
  "cell": [[-1.432, 4.346, 2.415], [-4.931, 0.667, 1.420], [-1.290, -0.129, 5.009]],
  "species": ["Pa", "Hg", "Ga", "Dy"],
  "fractional_positions": [[0.250, 0.250, 0.250], [0.000, 0.000, 0.000], [0.500, 0.500, 0.500], [0.750, 0.750, 0.750]],
  "spacegroup": "No. 216",
  "total_energy_ev_per_atom": -4.51,
  "total_magnetization_mub_per_fu": 0.983,
  "delta_e_f_ev_per_atom": -0.150
}


# 2
{
  "formula": "MgSiB2",
  "functional": "GGA-PBE",
  "state": "optimized geometry",
  "cell": [[3.335, 0.001, 0.000], [1.265, 4.575, 0.000], [0.373, 0.564, 6.091]],
  "species": ["Si", "Si", "B", "B", "B", "B", "Mg", "Mg"],
  "fractional_positions": [[0.290, 0.919, 0.296], [0.897, 0.801, 0.809], [0.652, 0.491, 0.400], [0.177, 0.383, 0.302], [0.883, 0.724, 0.165], [0.456, 0.710, 0.627], [0.233, 0.245, 0.657], [0.685, 0.309, 0.036]],
  "spacegroup": "No. 1",
  "total_energy_ev_per_atom": -4.94,
  "total_magnetization_mub_per_fu": 0.000,
  "raw_formation_energy_ev_per_atom": 0.16
}


What did the first record say?
{
  "formula": "DyPaGaHg",
  "functional": "GGA-PBE",
  "state": "optimized geometry",
  "cell": [[-1.432, 4.346, 2.415], [-4.931, 0.667, 1.420], [-1.290, -0.129, 5.009]],
  "species": ["Pa", "Hg", "Ga", "Dy"],
  "fractional_positions": [[0.250, 0.250, 0.250], [0.000, 0.000, 0.000], [0.500, 0.500, 0.500], [0.750, 0.750, 0.750]],
  "spacegroup": "No. 216",
  "total_energy_ev_per_atom": -4.51,
  "total_magnetization_mub_per_fu": 0.983,
  "delta_e_f_ev_per_atom": -0.150
}


Please write out number 2 again, unchanged.
{
  "formula": "MgSiB2",
  "functional": "GGA-PBE",
  "state": "optimized geometry",
  "cell": [[3.335, 0.001, 0.000], [1.265, 4.575, 0.000], [0.373, 0.564, 6.091]],
  "species": ["Si", "Si", "B", "B", "B", "B", "Mg", "Mg"],
  "fractional_positions": [[0.290, 0.919, 0.296], [0.897, 0.801, 0.809], [0.652, 0.491, 0.400], [0.177, 0.383, 0.302], [0.883, 0.724, 0.165], [0.456, 0.710, 0.627], [0.233, 0.245, 0.657], [0.685, 0.309, 0.036]],
  "spacegroup": "No. 1",
  "total_energy_ev_per_atom": -4.94,
  "total_magnetization_mub_per_fu": 0.000,
  "raw_formation_energy_ev_per_atom": 0.16
}